Below is an optimized crystal structure of La2TbP3, with properties calculated at the PBE level.

abc: 4.190 4.190 10.265
angles: 90.00 90.00 120.00
Element x y z (fractional)
1 La 0.333 0.667 0.827
2 La 0.667 0.333 0.173
3 P 0.000 0.000 0.000
4 P 0.333 0.667 0.345
5 P 0.667 0.333 0.655
6 Tb 0.000 0.000 0.500

Results
Spin magnetization ... 0.000 μB/atom
Density ... 5.63 g cm⁻³
Final energy ... -6.70 eV/atom

Below is an optimized crystal structure of LuZnCuHg, with properties calculated at the PBE level.

abc: 4.707 4.707 4.707
angles: 60.00 60.00 60.00
Element x y z (fractional)
1 Lu 0.250 0.250 0.250
2 Cu 0.750 0.750 0.750
3 Zn 0.000 0.000 0.000
4 Hg 0.500 0.500 0.500

Results
Spin magnetization ... 0.001 μB/atom
Distance to the lowest polymorph of the same formula ... 13.1 kJ/mol of formula units
Density ... 11.36 g cm⁻³
Final energy ... -2.63 eV/atom
Formation enthalpy at 0 K ... -0.179 eV/atom

Below is an optimized crystal structure of HoCdNO, with properties calculated at the PBE level.

abc: 3.843 3.843 7.990
angles: 90.00 90.00 90.00
Element x y z (fractional)
1 N 0.750 0.750 0.319
2 N 0.250 0.250 0.681
3 Cd 0.250 0.750 0.500
4 Cd 0.750 0.250 0.500
5 O 0.750 0.250 0.000
6 O 0.250 0.750 0.000
7 Ho 0.750 0.750 0.863
8 Ho 0.250 0.250 0.137

Results
Spin magnetization ... 0.000 μB/atom
Distance to the lowest polymorph of the same formula ... 84.7 kJ/mol of formula units
Density ... 8.65 g cm⁻³
Final energy ... -5.93 eV/atom

Below is an optimized crystal structure of LaPmPr, with properties calculated at the PBE level.

abc: 5.610 5.610 5.610
angles: 60.00 60.00 60.00
Element x y z (fractional)
1 La 0.250 0.250 0.250
2 Pm 0.000 0.000 0.000
3 Pr 0.750 0.750 0.750

Results
Spin magnetization ... 0.011 μB/atom
Distance to the lowest polymorph of the same formula ... 0.0 kJ/mol of formula units
Density ... 5.65 g cm⁻³
Final energy ... -4.15 eV/atom
Formation enthalpy at 0 K ... 0.663 eV/atom

Below is an optimized crystal structure of ErMgAu, with properties calculated at the PBE level.

abc: 7.621 7.621 3.975
angles: 90.00 90.00 120.00
Element x y z (fractional)
1 Au 0.667 0.333 0.000
2 Au 0.333 0.667 0.000
3 Au 0.000 0.000 0.500
4 Mg 0.250 0.250 0.000
5 Mg 0.000 0.750 0.000
6 Mg 0.750 0.000 0.000
7 Er 0.000 0.410 0.500
8 Er 0.410 0.000 0.500
9 Er 0.590 0.590 0.500

Results
Spin magnetization ... 0.002 μB/atom
Density ... 9.68 g cm⁻³
Final energy ... -3.81 eV/atom

Below is an optimized crystal structure of CsPaOs, with properties calculated at the PBE level.

abc: 4.787 4.787 4.787
angles: 60.00 60.00 60.00
Last column: magnetic moment on the atom in μB.
Element x y z (fractional)
1 Cs 0.000 0.000 0.000  -0.04
2 Os 0.750 0.750 0.750  0.10
3 Pa 0.250 0.250 0.250  -0.67

Results
Spin magnetization ... 0.247 μB/atom
Distance to the lowest polymorph of the same formula ... 248.7 kJ/mol of formula units
Density ... 11.87 g cm⁻³
Final energy ... -4.98 eV/atom